Record 1
Compound: AcHfSb2
Source: the Alexandria database
Functional: PBE-GGA
Structure: relaxed

Results
Energy above the lowest structure with this stoichiometry (meV/atom): 846

abc: 4.4003 4.4003 10.0577
angles: 77.36 77.36 60.00
Last column: nearest neighbours and their distance in Å.
Atoms (fractional coordinates):
Sb 0.9066 0.9066 0.2801  1 Hf 2.73
Sb 0.0934 0.0934 0.7199  1 Hf 2.73
Hf 0.0000 0.0000 0.0000  2 Sb 2.73
Ac 0.5000 0.5000 0.5000  6 Sb 3.32


Record 2
Compound: AcHfSb3
Source: the Alexandria database
Functional: PBE-GGA
Structure: relaxed

Results
Energy above the lowest structure with this stoichiometry (meV/atom): 0

abc: 6.4915 6.5347 14.1274
angles: 90.00 90.00 90.00
Last column: nearest neighbours and their distance in Å.
Atoms (fractional coordinates):
Hf 0.5000 0.7500 0.9153  6 Sb 2.89-2.96
Sb 0.7500 0.9881 0.7785  2 Hf 2.96, 1 Sb 3.32
Sb 0.7500 0.3855 0.9246  4 Hf 2.89-2.92
Sb 0.2500 0.5119 0.7785  2 Hf 2.96, 1 Sb 3.32
Sb 0.2500 0.6145 0.0754  4 Hf 2.89-2.92
Sb 0.0000 0.2500 0.4976  4 Sb 3.25-3.27, 4 Ac 3.48
Sb 0.2500 0.1145 0.9246  4 Hf 2.89-2.92
Sb 0.5000 0.2500 0.4976  4 Sb 3.25-3.27, 4 Ac 3.48
Ac 0.2500 0.0083 0.6842  9 Sb 3.47-3.55
Hf 0.0000 0.7500 0.9153  6 Sb 2.89-2.96
Sb 0.7500 0.4881 0.2215  2 Hf 2.96, 1 Sb 3.32
Ac 0.7500 0.4917 0.6842  9 Sb 3.47-3.55
Ac 0.2500 0.5083 0.3158  9 Sb 3.47-3.55
Sb 0.0000 0.7500 0.5024  4 Sb 3.25-3.27, 4 Ac 3.48
Hf 0.0000 0.2500 0.0847  6 Sb 2.89-2.96
Sb 0.5000 0.7500 0.5024  4 Sb 3.25-3.27, 4 Ac 3.48
Sb 0.7500 0.8855 0.0754  4 Hf 2.89-2.92
Sb 0.2500 0.0119 0.2215  2 Hf 2.96, 1 Sb 3.32
Hf 0.5000 0.2500 0.0847  6 Sb 2.89-2.96
Ac 0.7500 0.9917 0.3158  9 Sb 3.47-3.55


Record 3
Compound: AcHfSb2
Source: the Alexandria database
Functional: PBE-GGA
Structure: relaxed

Results
Energy above the lowest structure with this stoichiometry (meV/atom): 100

abc: 5.4099 5.4099 5.4099
angles: 60.00 60.00 60.00
Last column: nearest neighbours and their distance in Å.
Atoms (fractional coordinates):
Ac 0.0000 0.0000 0.0000  8 Sb 3.31
Sb 0.2500 0.2500 0.2500  4 Hf 3.31, 4 Ac 3.31
Sb 0.7500 0.7500 0.7500  4 Ac 3.31, 4 Hf 3.31
Hf 0.5000 0.5000 0.5000  8 Sb 3.31


Record 4
Compound: AcHfSb2
Source: the Alexandria database
Functional: PBE-GGA
Structure: relaxed

Results
Energy above the lowest structure with this stoichiometry (meV/atom): 0

abc: 3.7378 3.7378 7.9015
angles: 90.00 90.00 90.00
Last column: nearest neighbours and their distance in Å.
Atoms (fractional coordinates):
Sb 0.0000 0.0000 0.7919  4 Hf 3.11, 1 Sb 3.29
Hf 0.5000 0.5000 0.0000  8 Sb 3.11
Ac 0.5000 0.5000 0.5000  8 Sb 3.51, 4 Ac 3.74
Sb 0.0000 0.0000 0.2081  4 Hf 3.11, 1 Sb 3.29


Record 5
Compound: AcHfSb
Source: the Alexandria database
Functional: PBE-GGA
Structure: relaxed

abc: 6.3733 7.9277 7.9277
angles: 90.00 90.00 90.00
Last column: nearest neighbours and their distance in Å.
Atoms (fractional coordinates):
Sb 0.0000 0.5000 0.2053  2 Hf 3.01, 4 Ac 3.19, 1 Sb 3.26
Hf 0.0000 0.1810 0.0000  1 Hf 2.87, 2 Sb 3.01
Sb 0.5000 0.2053 0.5000  2 Hf 3.01, 4 Ac 3.19, 1 Sb 3.26
Sb 0.0000 0.5000 0.7947  2 Hf 3.01, 4 Ac 3.19, 1 Sb 3.26
Hf 0.5000 0.0000 0.8190  1 Hf 2.87, 2 Sb 3.01
Ac 0.0000 0.2253 0.5000  4 Sb 3.19, 1 Ac 3.57
Ac 0.5000 0.5000 0.2253  4 Sb 3.19, 1 Ac 3.57
Ac 0.0000 0.7747 0.5000  4 Sb 3.19, 1 Ac 3.57
Sb 0.5000 0.7947 0.5000  2 Hf 3.01, 4 Ac 3.19, 1 Sb 3.26
Hf 0.5000 0.0000 0.1810  1 Hf 2.87, 2 Sb 3.01
Hf 0.0000 0.8190 0.0000  1 Hf 2.87, 2 Sb 3.01
Ac 0.5000 0.5000 0.7747  4 Sb 3.19, 1 Ac 3.57


Record 6
Compound: Ac2HfSb
Source: the Alexandria database
Functional: PBE-GGA
Structure: relaxed

abc: 4.6999 5.2033 5.2033
angles: 90.00 90.00 90.00
Last column: nearest neighbours and their distance in Å.
Atoms (fractional coordinates):
Ac 0.0000 0.0000 0.5000  4 Hf 3.51, 4 Sb 3.51, 4 Ac 3.68
Ac 0.0000 0.5000 0.0000  4 Hf 3.51, 4 Sb 3.51, 4 Ac 3.68
Hf 0.5000 0.0000 0.0000  8 Ac 3.51, 4 Sb 3.68
Sb 0.5000 0.5000 0.5000  8 Ac 3.51, 4 Hf 3.68


Record 7
Compound: AcHfSb3
Source: the Alexandria database
Functional: PBE-GGA
Structure: relaxed

Results
Energy above the lowest structure with this stoichiometry (meV/atom): 375

abc: 5.5122 5.5122 5.5122
angles: 90.00 90.00 90.00
Last column: nearest neighbours and their distance in Å.
Atoms (fractional coordinates):
Sb 0.5000 0.0000 0.0000  2 Hf 2.76
Hf 0.0000 0.0000 0.0000  6 Sb 2.76
Sb 0.0000 0.0000 0.5000  2 Hf 2.76
Ac 0.5000 0.5000 0.5000  12 Sb 3.90
Sb 0.0000 0.5000 0.0000  2 Hf 2.76


Record 8
Compound: AcHfSe3
Source: the Alexandria database
Functional: PBE-GGA
Structure: relaxed

Results
Energy above the lowest structure with this stoichiometry (meV/atom): 76

abc: 5.1874 5.2660 10.5511
angles: 104.45 90.00 90.00
Last column: nearest neighbours and their distance in Å.
Atoms (fractional coordinates):
Se 0.7500 0.0124 0.8702  2 Hf 2.62-2.65
Se 0.2500 0.7031 0.3918  1 Hf 2.78, 1 Ac 3.03
Hf 0.7500 0.5199 0.8780  6 Se 2.61-2.78
Hf 0.2500 0.6419 0.1220  6 Se 2.61-2.78
Se 0.7500 0.6722 0.1448  3 Hf 2.61-2.73
Ac 0.2500 0.9553 0.6828  5 Se 3.03-3.23
Se 0.2500 0.5275 0.8552  3 Hf 2.61-2.73
Se 0.2500 0.1422 0.1298  2 Hf 2.62-2.65
Se 0.7500 0.3113 0.6082  1 Hf 2.78, 1 Ac 3.03
Ac 0.7500 0.2725 0.3172  5 Se 3.03-3.23


One value per record, in order, for total magnetic moment: 0.0 0.0 0.9 0.0 0.3 0.0 0.0 0.0 μB per formula unit.
One value per record, in order, for volume: 163.2 599.3 112.0 110.4 400.6 127.2 167.5 279.1 Å³/cell.
One value per record, in order, for energy relative to the elements, uncorrected: 7.405 -16.581 -9.796 -12.105 -1.769 -3.622 -7.929 -35.800 kcal/mol of atoms.